Record 1
Tb5ThMg4 | PBE | optimized geometry

Values from the calculation:
DOS at the Fermi energy   14.1 states/eV/f.u.
V   28.461 Å³/atom
Spin magnetization   0.000 μB/atom
Energy relative to the elements   -0.06 eV per atom

Cell lengths 3.7201, 3.7201, 20.5657 Å; angles 90.00, 90.00, 90.00 degrees
Space group P4/mmm (No. 123)
Asymmetric unit:
Tb 0.0000 0.0000 0.0000 x1
Tb 0.0000 0.0000 0.1875 x2
Tb 0.0000 0.0000 0.3865 x2
Th 0.5000 0.5000 0.5000 x1
Mg 0.5000 0.5000 0.0944 x2
Mg 0.5000 0.5000 0.2856 x2

=====

Record 2
SrAcTe2H | PBE | optimized geometry

Values from the calculation:
DOS at the Fermi energy   1.1 states/eV/f.u.
V   32.986 Å³/atom
Spin magnetization   0.000 μB/atom
E   -4.31 eV/atom

Cell lengths 4.6003, 4.6003, 15.5869 Å; angles 90.00, 90.00, 90.00 degrees
Space group P4/nmm (No. 129, origin choice 2)
Asymmetric unit:
Sr 0.2500 0.2500 0.0738 x2
Ac 0.2500 0.2500 0.6383 x2
Te 0.2500 0.2500 0.4081 x2
Te 0.2500 0.2500 0.8357 x2
H 0.2500 0.7500 0.0000 x2

=====

Record 3
KCuHg2 | PBE | optimized geometry

Values from the calculation:
Offset from the most stable computed form   0.210 eV/atom
DOS at the Fermi energy   1.4 states/eV/f.u.
V   26.408 Å³/atom
Spin magnetization   0.000 μB/atom
Energy relative to the elements   0.13 eV per atom

Cell lengths 7.5039, 7.5039, 7.5039 Å; angles 90.00, 90.00, 90.00 degrees
Space group Fm-3m (No. 225)
Asymmetric unit:
K 0.0000 0.0000 0.0000 x4
Cu 0.0000 0.0000 0.5000 x4
Hg 0.2500 0.2500 0.2500 x8

=====

Record 4
Co2HgRu | PBE | optimized geometry

Values from the calculation:
DOS at the Fermi energy   5.2 states/eV/f.u.
V   14.319 Å³/atom
Spin magnetization   1.033 μB/atom
Energy relative to the elements   0.39 eV per atom

Cell lengths 2.8575, 2.8575, 7.0147 Å; angles 90.00, 90.00, 90.00 degrees
Space group P4mm (No. 99)
Asymmetric unit:
Co 0.0000 0.0000 0.0000 x1
Co 0.5000 0.5000 0.1903 x1
Hg 0.0000 0.0000 0.4729 x1
Ru 0.5000 0.5000 0.7788 x1

=====

Record 5
K2CoRu | PBE | optimized geometry

Values from the calculation:
Offset from the most stable computed form   0.000 eV/atom
DOS at the Fermi energy   3.6 states/eV/f.u.
V   28.367 Å³/atom
Spin magnetization   0.686 μB/atom
Energy relative to the elements   0.70 eV per atom

Cell lengths 3.3575, 3.3575, 10.0653 Å; angles 90.00, 90.00, 90.00 degrees
Space group P4mm (No. 99)
Asymmetric unit:
K 0.0000 0.0000 0.0000 x1
K 0.5000 0.5000 0.4306 x1
Co 0.5000 0.5000 0.7461 x1
Ru 0.0000 0.0000 0.6868 x1

=====

Record 6
KRb2HBr | PBE | optimized geometry

Values from the calculation:
DOS at the Fermi energy   1.7 states/eV/f.u.
V   39.842 Å³/atom
Spin magnetization   0.000 μB/atom
E   -2.16 eV/atom

Cell lengths 6.0321, 6.0321, 5.4749 Å; angles 90.00, 90.00, 90.00 degrees
Space group P4/mmm (No. 123)
Asymmetric unit:
K 0.0000 0.0000 0.0000 x1
Rb 0.0000 0.5000 0.5000 x2
H 0.0000 0.0000 0.5000 x1
Br 0.5000 0.5000 0.0000 x1

=====

Record 7
Tb7HoEr3 | PBE | optimized geometry

Values from the calculation:
Offset from the most stable computed form   0.000 eV/atom
DOS at the Fermi energy   16.6 states/eV/f.u.
V   32.057 Å³/atom
Spin magnetization   0.000 μB/atom
Energy relative to the elements   0.14 eV per atom

Cell lengths 6.9436, 5.5079, 9.8433 Å; angles 90.00, 110.49, 90.00 degrees
Space group P2/m (No. 10)
Asymmetric unit:
Tb 0.0000 0.0000 0.0000 x1
Tb 0.1460 0.5000 0.2913 x2
Tb 0.3211 0.5000 0.6411 x2
Tb 0.4164 0.0000 0.8303 x2
Ho 0.0000 0.0000 0.5000 x1
Er 0.2792 0.5000 0.9997 x2
Er 0.5000 0.0000 0.5000 x1

=====

Record 8
Er2TmAlN | PBE | optimized geometry

Values from the calculation:
E_form (uncorrected)   -948 meV/atom
DOS at the Fermi energy   2.1 states/eV/f.u.
V   20.861 Å³/atom
Spin magnetization   0.000 μB/atom

Cell lengths 4.7171, 4.7171, 4.6876 Å; angles 90.00, 90.00, 90.00 degrees
Space group P4/mmm (No. 123)
Asymmetric unit:
Er 0.0000 0.5000 0.0000 x2
Tm 0.0000 0.0000 0.5000 x1
Al 0.5000 0.5000 0.5000 x1
N 0.0000 0.0000 0.0000 x1

=====

Record 9
Na2As2O7 | PBE | optimized geometry

Values from the calculation:
E_form (uncorrected)   -987 meV/atom
V   13.664 Å³/atom
Spin magnetization   0.186 μB/atom

Cell lengths 11.1868, 5.2907, 5.1082 Å; angles 90.00, 96.11, 90.00 degrees
Space group C2/m (No. 12)
Asymmetric unit:
Na 0.0000 0.2460 0.0000 x4
As 0.2124 0.5000 0.5640 x4
O 0.0000 0.0000 0.5000 x2
O 0.1019 0.5000 0.7583 x4
O 0.1765 0.2473 0.3112 x8

=====

Record 10
La2VAgHg | PBE | optimized geometry

Values from the calculation:
DOS at the Fermi energy   12.7 states/eV/f.u.
V   33.539 Å³/atom
Spin magnetization   0.102 μB/atom
Energy relative to the elements   0.87 eV per atom

Cell lengths 5.7413, 5.7413, 5.0874 Å; angles 90.00, 90.00, 90.00 degrees
Space group P4/mmm (No. 123)
Asymmetric unit:
La 0.0000 0.5000 0.0000 x2
V 0.0000 0.0000 0.5000 x1
Ag 0.5000 0.5000 0.0000 x1
Hg 0.5000 0.5000 0.5000 x1

=====

Record 11
Ac2Pd4Pb3 | PBE | optimized geometry

Values from the calculation:
DOS at the Fermi energy   3.9 states/eV/f.u.
V   24.438 Å³/atom
Spin magnetization   0.000 μB/atom
Energy relative to the elements   -0.57 eV per atom

Cell lengths 6.5563, 17.5217, 7.6584 Å; angles 90.00, 90.00, 90.00 degrees
Space group Cmce (No. 64)
Asymmetric unit:
Ac 0.0000 0.1049 0.0834 x8
Pd 0.0000 0.1631 0.4821 x8
Pd 0.2500 0.0709 0.7500 x8
Pb 0.0000 0.0000 0.5000 x4
Pb 0.2500 0.2359 0.7500 x8

=====

Record 12
Ca3OsBr | PBE | optimized geometry

Values from the calculation:
Offset from the most stable computed form   0.000 eV/atom
E_form (uncorrected)   -45 meV/atom
DOS at the Fermi energy   5.2 states/eV/f.u.
V   33.281 Å³/atom
Spin magnetization   0.000 μB/atom

Cell lengths 5.5003, 5.5003, 5.5003 Å; angles 90.00, 90.00, 90.00 degrees
Space group Pm-3m (No. 221)
Asymmetric unit:
Ca 0.0000 0.0000 0.5000 x3
Os 0.0000 0.0000 0.0000 x1
Br 0.5000 0.5000 0.5000 x1